Compound: LaMg2Bi
Source: the Alexandria database
Functional: PBE
Structure: optimized geometry

Summary:
- Crystal system: trigonal
- E_form: 0.13 eV per atom

POSCAR file:
```
LaMg2Bi
1.0
3.4382 0.0000 0.0000
1.7191 2.9776 0.0000
1.7191 0.9925 11.7676
Mg Bi La
2 1 1
Cartesian
1.7191 0.9925 8.4976
5.1573 2.9776 3.2699
3.4382 1.9851 5.8838
0.0000 0.0000 0.0000
```